P.
# GGA-PBE In3RhBr, relaxed
# **DOS at the Fermi energy**: 2.12 states/eV/f.u.
data_In3RhBr
_chemical_formula_sum 'In3 Rh1 Br1'
_cell_length_a 5.209
_cell_length_b 5.209
_cell_length_c 5.209
_cell_angle_alpha 90.00
_cell_angle_beta 90.00
_cell_angle_gamma 90.00
_space_group_name_H-M_alt 'P 1'
_space_group_IT_number 1
loop_
_space_group_symop_operation_xyz
'x,y,z'
loop_
_atom_site_label
_atom_site_fract_x
_atom_site_fract_y
_atom_site_fract_z
In1 0.500 0.000 0.000
In2 0.000 0.500 0.000
In3 0.000 0.000 0.500
Br1 0.500 0.500 0.500
Rh1 0.000 0.000 0.000

Q.
# GGA-PBE In3RhBr, relaxed
# **DOS at the Fermi energy**: 8.32 states/eV/f.u.
data_In3RhBr
_chemical_formula_sum 'In3 Rh1 Br1'
_cell_length_a 5.622
_cell_length_b 5.622
_cell_length_c 5.622
_cell_angle_alpha 90.00
_cell_angle_beta 90.00
_cell_angle_gamma 90.00
_space_group_name_H-M_alt 'P 1'
_space_group_IT_number 1
loop_
_space_group_symop_operation_xyz
'x,y,z'
loop_
_atom_site_label
_atom_site_fract_x
_atom_site_fract_y
_atom_site_fract_z
In1 0.000 0.500 0.000
In2 0.500 0.000 0.000
In3 0.000 0.000 0.500
Br1 0.000 0.000 0.000
Rh1 0.500 0.500 0.500

Question: of the structures shown, which is the least stable? Reply: Q.